(1)
VASP calculation (GGA-PBE) on crystalline RbSr2Tl at its relaxed geometry.

a b c (Å): 5.5423 5.5423 26.0759
angles (deg): 90.00 90.00 90.00
Space group I-42d (No. 122)
One atom of each set of equivalent atoms:
Rb (0.0000, 0.0000, 0.0000) (multiplicity 4)
Sr (0.2264, 0.2500, 0.6250) (multiplicity 8)
Tl (0.0000, 0.0000, 0.5000) (multiplicity 4)

Values from the calculation:
DOS at the Fermi energy in states/eV/f.u.: 5.4
Magnetic moment in μB per atom: 0.00
Calculated total energy in eV for the cell shown: -23.83
Crystal system: tetragonal
Calculated volume in Å³ per cell: 801.0

=====

(2)
VASP calculation (GGA-PBE) on crystalline U2Tl2SbSe6 at its relaxed geometry.

a b c (Å): 7.2562 12.5152 8.1589
angles (deg): 90.00 107.18 90.00
Space group C2/m (No. 12)
One atom of each set of equivalent atoms:
U (0.0000, 0.1672, 0.0000) (multiplicity 4)
Tl (0.0000, 0.3338, 0.5000) (multiplicity 4)
Sb (0.0000, 0.5000, 0.0000) (multiplicity 2)
Se (0.2311, 0.0000, 0.2020) (multiplicity 4)
Se (0.2368, 0.3320, 0.2036) (multiplicity 8)

Values from the calculation:
DOS at the Fermi energy in states/eV/f.u.: 12.6
Magnetic moment in μB per atom: 0.46
Calculated total energy in eV for the cell shown: -121.58
Crystal system: monoclinic
Calculated volume in Å³ per cell: 707.9

=====

(3)
VASP calculation (GGA-PBE) on crystalline MgPOF2 at its relaxed geometry.

a b c (Å): 4.4905 4.4905 3.4839
angles (deg): 90.00 90.00 90.00
Space group P4/mmm (No. 123)
One atom of each set of equivalent atoms:
Mg (0.0000, 0.0000, 0.0000) (multiplicity 1)
P (0.5000, 0.5000, 0.5000) (multiplicity 1)
O (0.5000, 0.5000, 0.0000) (multiplicity 1)
F (0.0000, 0.5000, 0.5000) (multiplicity 2)

Values from the calculation:
DOS at the Fermi energy in states/eV/f.u.: 2.4
Magnetic moment in μB per atom: 0.00
Calculated total energy in eV for the cell shown: -21.73
Crystal system: tetragonal
Calculated volume in Å³ per cell: 70.3